A relaxed Y4ErCu5 crystal. Source: the Alexandria database, functional PBE.

It has space group P4/mmm (No. 123), with a = 3.4536 Å, b = 3.4536 Å, c = 17.5392 Å, α = 90.00°, β = 90.00° and γ = 90.00°. The distinct sites, in fractional coordinates, are Y at (0.0000, 0.0000, 0.1004), Y at (0.0000, 0.0000, 0.3014), Er at (0.0000, 0.0000, 0.5000), Cu at (0.5000, 0.5000, 0.0000), Cu at (0.5000, 0.5000, 0.2006) and Cu at (0.5000, 0.5000, 0.4035).

The calculation puts the calculated formation energy at -2.5 eV/f.u. The value obtained for the final energy is -5.3433 eV per atom. As for the calculated density: 6.67 Mg/m³. The magnetization comes out at 0.0 μB/cell.


A relaxed Y2ErZn12Cu3 crystal. Source: the Alexandria database, functional PBE.

It has space group R-3m (No. 166, hexagonal axes), with a = 6.4985 Å, b = 6.4985 Å, c = 27.5142 Å, α = 90.00°, β = 90.00° and γ = 120.00°. The distinct sites, in fractional coordinates, are Y at (0.0000, 0.0000, 0.1430), Er at (0.0000, 0.0000, 0.5000), Zn at (0.0623, 0.5312, 0.9046), Zn at (0.0683, 0.5342, 0.7131) and Cu at (0.0000, 0.5000, 0.0000).

The calculation puts the calculated formation energy at -0.4 eV/f.u. The value obtained for the final energy is -2.5232 eV per atom. As for the calculated density: 6.54 Mg/m³. The magnetization comes out at 0.0 μB/cell.


A relaxed YErZnCu crystal. Source: the Alexandria database, functional PBE.

It has space group F-43m (No. 216), with a = 7.0171 Å, b = 7.0171 Å, c = 7.0171 Å, α = 90.00°, β = 90.00° and γ = 90.00°. The distinct sites, in fractional coordinates, are Y at (0.0000, 0.0000, 0.0000), Er at (0.0000, 0.0000, 0.5000), Zn at (0.2500, 0.2500, 0.7500) and Cu at (0.2500, 0.2500, 0.2500).

The calculation puts the calculated formation energy at -1.2 eV/f.u. The value obtained for the final energy is -4.3951 eV per atom. As for the calculated density: 7.40 Mg/m³. The magnetization comes out at 0.0 μB/cell.


A relaxed YErZnCu crystal. Source: the Alexandria database, functional PBE.

It has space group P4mm (No. 99), with a = 3.5058 Å, b = 3.5058 Å, c = 7.0305 Å, α = 90.00°, β = 90.00° and γ = 90.00°. The distinct sites, in fractional coordinates, are Y at (0.0000, 0.0000, 0.0000), Er at (0.0000, 0.0000, 0.5133), Zn at (0.5000, 0.5000, 0.2620) and Cu at (0.5000, 0.5000, 0.7470).

The calculation puts the calculated formation energy at -1.2 eV/f.u. The value obtained for the final energy is -4.4053 eV per atom. As for the calculated density: 7.40 Mg/m³. The magnetization comes out at 0.0 μB/cell.


A relaxed ErZn2Cu6 crystal. Source: the Alexandria database, functional PBE.

It has space group Immm (No. 71), with a = 3.9989 Å, b = 5.8849 Å, c = 11.8976 Å, α = 90.00°, β = 90.00° and γ = 90.00°. The distinct sites, in fractional coordinates, are Er at (0.0000, 0.0000, 0.0000), Zn at (0.0000, 0.5000, 0.1200), Cu at (0.0000, 0.1925, 0.5000) and Cu at (0.0000, 0.2837, 0.3068).

The calculation puts the calculated formation energy at 0.3 eV/f.u. The value obtained for the final energy is -3.4857 eV per atom. As for the calculated density: 8.06 Mg/m³. The magnetization comes out at 0.0 μB/cell.


A relaxed Er3Zn3Cu2 crystal. Source: the Alexandria database, functional PBE.

It has space group P-62m (No. 189), with a = 7.0083 Å, b = 7.0083 Å, c = 3.7695 Å, α = 90.00°, β = 90.00° and γ = 120.00°. The distinct sites, in fractional coordinates, are Er at (0.0000, 0.4027, 0.0000), Zn at (0.0000, 0.7683, 0.5000) and Cu at (0.3333, 0.6667, 0.5000).

The calculation puts the calculated formation energy at -2.2 eV/f.u. The value obtained for the final energy is -3.4918 eV per atom. As for the calculated density: 8.55 Mg/m³. The magnetization comes out at 0.0 μB/cell.


A relaxed ErZn2Cu4 crystal. Source: the Alexandria database, functional PBE.

It has space group C2/m (No. 12), with a = 8.1005 Å, b = 6.3945 Å, c = 4.9856 Å, α = 90.00°, β = 126.75° and γ = 90.00°. The distinct sites, in fractional coordinates, are Er at (0.0000, 0.0000, 0.0000), Zn at (0.0021, 0.5000, 0.7530) and Cu at (0.1899, 0.1916, 0.6887).

The calculation puts the calculated formation energy at -1.7 eV/f.u. The value obtained for the final energy is -3.5935 eV per atom. As for the calculated density: 8.86 Mg/m³. The magnetization comes out at 0.0 μB/cell.


A relaxed ErZn4Cu6 crystal. Source: the Alexandria database, functional PBE.

It has space group P-6m2 (No. 187), with a = 6.9234 Å, b = 6.9234 Å, c = 3.9335 Å, α = 90.00°, β = 90.00° and γ = 120.00°. The distinct sites, in fractional coordinates, are Er at (0.0000, 0.0000, 0.0000), Zn at (0.3333, 0.6667, 0.0000), Zn at (0.3986, 0.1993, 0.5000), Cu at (0.2059, 0.4118, 0.5000) and Cu at (0.5368, 0.0736, 0.0000).

The calculation puts the calculated formation energy at -1.0 eV/f.u. The value obtained for the final energy is -3.2007 eV per atom. As for the calculated density: 8.24 Mg/m³. The magnetization comes out at 0.0 μB/cell.


A relaxed Er3Zn9Cu2 crystal. Source: the Alexandria database, functional PBE.

It has space group Immm (No. 71), with a = 4.3194 Å, b = 8.8424 Å, c = 12.6656 Å, α = 90.00°, β = 90.00° and γ = 90.00°. The distinct sites, in fractional coordinates, are Er at (0.0000, 0.0000, 0.0000), Er at (0.0000, 0.0000, 0.2976), Zn at (0.0000, 0.2829, 0.1325), Zn at (0.0000, 0.3589, 0.3418), Zn at (0.0000, 0.5000, 0.0000) and Cu at (0.0000, 0.1797, 0.5000).

The calculation puts the calculated formation energy at -4.2 eV/f.u. The value obtained for the final energy is -2.6824 eV per atom. As for the calculated density: 8.36 Mg/m³. The magnetization comes out at 0.0 μB/cell.


A relaxed Er3Zn4Cu4 crystal. Source: the Alexandria database, functional PBE.

It has space group P-1 (No. 2), with a = 3.5718 Å, b = 4.1840 Å, c = 13.5315 Å, α = 81.28°, β = 82.54° and γ = 89.94°. The distinct sites, in fractional coordinates, are Er at (0.0000, 0.0000, 0.0000), Er at (0.1479, 0.6454, 0.7082), Zn at (0.2558, 0.2573, 0.4886), Zn at (0.4027, 0.9058, 0.1902), Cu at (0.3095, 0.8136, 0.3764) and Cu at (0.4500, 0.4534, 0.0936).

The calculation puts the calculated formation energy at -3.2 eV/f.u. The value obtained for the final energy is -3.4841 eV per atom. As for the calculated density: 8.53 Mg/m³. The magnetization comes out at 0.0 μB/cell.


A relaxed Er3ZnCu crystal. Source: the Alexandria database, functional PBE.

It has space group Cmcm (No. 63), with a = 4.9510 Å, b = 18.9213 Å, c = 4.9497 Å, α = 90.00°, β = 90.00° and γ = 90.00°. The distinct sites, in fractional coordinates, are Er at (0.0000, 0.0675, 0.2500), Er at (0.0000, 0.2493, 0.2500), Er at (0.0000, 0.4308, 0.2500), Zn at (0.0000, 0.1577, 0.7500) and Cu at (0.0000, 0.3388, 0.7500).

The calculation puts the calculated formation energy at -1.1 eV/f.u. The value obtained for the final energy is -4.0384 eV per atom. As for the calculated density: 9.04 Mg/m³. The magnetization comes out at 0.0 μB/cell.


A relaxed ErZn6Cu crystal. Source: the Alexandria database, functional PBE.

It has space group P4/mmm (No. 123), with a = 4.0592 Å, b = 4.0592 Å, c = 8.3830 Å, α = 90.00°, β = 90.00° and γ = 90.00°. The distinct sites, in fractional coordinates, are Er at (0.0000, 0.0000, 0.0000), Zn at (0.0000, 0.5000, 0.3289), Zn at (0.5000, 0.5000, 0.1432) and Cu at (0.0000, 0.0000, 0.5000).

The calculation puts the calculated formation energy at -1.2 eV/f.u. The value obtained for the final energy is -2.1858 eV per atom. As for the calculated density: 7.49 Mg/m³. The magnetization comes out at 0.0 μB/cell.


- Look up the calculated density of the third one.
  7.40 Mg/m³


- calculated density of number 9 (Er3Zn9Cu2)?
  8.36 Mg/m³